Here is a relaxed structure of Mo4O from Alexandria. Energies are from PBE+U.

Structure (POSCAR):
```
Mo4O
1.0
-4.155 -1.451 -0.815
1.161 -4.097 1.379
-1.194 1.069 4.179
Mo O
4 1
direct
0.000 0.000 0.000
0.500 0.000 0.500
0.000 0.500 0.500
0.500 0.500 0.000
0.500 0.500 0.500
```

Values from the calculation:
Calculated density, g cm⁻³: 7.40
Calculated total energy, eV/f.u.: -29.4
DOS at the Fermi energy, states/eV per atom: 0.74